# Mn3SbO

An optimized crystal structure of Mn3SbO (GGA+U, Alexandria via LeMat-Bulk).

Unit cell a=4.469 b=4.469 c=4.469 alpha=90.00 beta=90.00 gamma=90.00
Atoms (fractional coordinates):
Mn1 0.000 0.000 0.500
Mn2 0.000 0.500 0.000
Mn3 0.500 0.000 0.000
Sb1 0.500 0.500 0.500
O1 0.000 0.000 0.000

Total energy (eV per atom): -6.62
Distance to the lowest polymorph of the same formula (meV/atom): 0

---

# Mn2SbO5

An optimized crystal structure of Mn2SbO5 (GGA+U, Alexandria via LeMat-Bulk).

Unit cell a=5.615 b=5.615 c=10.088 alpha=90.00 beta=90.00 gamma=138.05
Atoms (fractional coordinates):
Mn1 0.137 0.863 0.571
Mn2 0.137 0.863 0.929
Mn3 0.863 0.137 0.071
Mn4 0.863 0.137 0.429
Sb1 0.192 0.808 0.250
Sb2 0.808 0.192 0.750
O1 0.060 0.940 0.114
O2 0.060 0.940 0.386
O3 0.251 0.749 0.750
O4 0.316 0.684 0.094
O5 0.316 0.684 0.406
O6 0.684 0.316 0.594
O7 0.684 0.316 0.906
O8 0.749 0.251 0.250
O9 0.940 0.060 0.614
O10 0.940 0.060 0.886

Total energy (eV per atom): -7.00

---

# Mn2SbO

An optimized crystal structure of Mn2SbO (GGA+U, Alexandria via LeMat-Bulk).

Unit cell a=5.925 b=5.925 c=5.925 alpha=115.34 beta=115.34 gamma=98.29
Atoms (fractional coordinates):
Mn1 0.021 0.625 0.896
Mn2 0.375 0.271 0.396
Mn3 0.729 0.125 0.104
Mn4 0.875 0.979 0.604
Sb1 0.250 0.750 0.500
Sb2 0.500 0.500 0.000
O1 0.000 0.000 0.000
O2 0.750 0.250 0.500

Total energy (eV per atom): -6.63
Distance to the lowest polymorph of the same formula (meV/atom): 0

---

# ScMn2SbO6

An optimized crystal structure of ScMn2SbO6 (GGA+U, Alexandria via LeMat-Bulk).

Unit cell a=5.684 b=5.684 c=5.684 alpha=56.82 beta=56.82 gamma=56.82
Atoms (fractional coordinates):
Sc1 0.000 0.000 0.000
Mn1 0.278 0.278 0.278
Mn2 0.783 0.783 0.783
Sb1 0.494 0.494 0.494
O1 0.126 0.709 0.375
O2 0.226 0.613 0.857
O3 0.375 0.126 0.709
O4 0.613 0.857 0.226
O5 0.709 0.375 0.126
O6 0.857 0.226 0.613

Total energy (eV per atom): -7.60
Distance to the lowest polymorph of the same formula (meV/atom): 18

---

no.,size of the total moment (μB per formula unit)
1,14.38
2,9.00
3,9.00
4,10.00